No. 1
4
Lattice="-4.187 -2.761 -0.998 -0.574 -1.308 -4.910 2.889 -0.374 4.203" Properties=species:S:1:pos:R:3 comment="SiPPt2 | Alexandria | PBE | relaxed" magnetic_moment_mub_per_cell=0.000 pbc="T T T"
Pt -1.724 -2.486 0.269
Pt -0.120 -0.103 -0.149
P -0.069 -1.889 -1.875
Si -2.339 -1.999 -2.903



No. 2
4
Lattice="2.862 0.000 0.000 0.000 4.523 0.000 0.000 0.000 4.523" Properties=species:S:1:pos:R:3 comment="SiP2Pt | Alexandria | PBE | relaxed" magnetic_moment_mub_per_cell=0.000 pbc="T T T"
P 0.000 0.000 0.000
Pt 1.431 2.261 0.000
P 0.000 2.261 2.261
Si 1.431 0.000 2.261



What are the uncorrected formation energy values for these records? In order: -8 29 kJ/mol of atoms.
What are the energy values for these records? In order: -23.251 -21.066 eV per cell.